A plane-wave DFT calculation with PBE-GGA was carried out for KCd2Tc after structural relaxation.

SG: Immm (71)
ΔH_f (0 K), eV per atom: 0.76
ΔE to the lowest computed polymorph, meV/atom: 266
Energy, eV per atom: -2.5623

Unit cell a=6.7703 b=6.7703 c=6.7703 alpha=154.26 beta=128.14 gamma=58.77
Each line ends with the local moment (μB).
Positions (direct):
Cd 0.4541 0.4541 0.0000  0.01
Cd 0.0459 0.0459 0.0000  0.01
Tc 0.2500 0.7500 0.5000  2.29
K 0.7500 0.2500 0.5000  0.02